Record 1
This record from Alexandria describes a relaxed LiCu3Si crystal. The functional is PBE-GGA.

## Properties
**Raw formation energy**: 706 meV per atom
**Energy above the lowest structure with this stoichiometry**: 0.872 eV/atom

```
data_LiCu3Si
_symmetry_space_group_name_H-M 'P m -3 m'
_symmetry_Int_Tables_number 221
_symmetry_space_group_name_Hall '-P 4 2 3'
_cell_length_a 4.0743
_cell_length_b 4.0743
_cell_length_c 4.0743
_cell_angle_alpha 90.00
_cell_angle_beta 90.00
_cell_angle_gamma 90.00
loop_
_atom_site_label
_atom_site_fract_x
_atom_site_fract_y
_atom_site_fract_z
Li1 0.0000 0.0000 0.0000
Cu1 0.0000 0.0000 0.5000
Si1 0.5000 0.5000 0.5000
```

---

Record 2
This record from Alexandria describes a relaxed Li7Cd2Ge2 crystal. The functional is PBE-GGA.

## Properties
**E_form**: -220.1 meV per atom

```
data_Li7Cd2Ge2
_symmetry_space_group_name_H-M 'C 1 2/m 1'
_symmetry_Int_Tables_number 12
_cell_length_a 10.4905
_cell_length_b 8.5580
_cell_length_c 4.8089
_cell_angle_alpha 90.00
_cell_angle_beta 115.80
_cell_angle_gamma 90.00
loop_
_symmetry_equiv_pos_as_xyz
'x,y,z'
'-x,-y,-z'
'-x,y,-z'
'x,-y,z'
'x+1/2,y+1/2,z'
'-x+1/2,-y+1/2,-z'
'-x+1/2,y+1/2,-z'
'x+1/2,-y+1/2,z'
loop_
_atom_site_label
_atom_site_fract_x
_atom_site_fract_y
_atom_site_fract_z
Li1 0.0000 0.0000 0.0000
Li2 0.0000 0.5000 0.2427
Li3 0.2340 0.1735 0.2364
Cd1 0.0000 0.1939 0.5000
Ge1 0.2343 0.0000 0.7435
```

---

Record 3
This record from Alexandria describes a relaxed Si2AgPt crystal. The functional is PBE-GGA.

## Properties
**Raw formation energy**: 82 meV per atom
**Energy above the lowest structure with this stoichiometry**: 0.206 eV/atom

```
data_Si2AgPt
_symmetry_space_group_name_H-M 'I m m 2'
_symmetry_Int_Tables_number 44
_cell_length_a 3.1205
_cell_length_b 4.6582
_cell_length_c 8.7211
_cell_angle_alpha 90.00
_cell_angle_beta 90.00
_cell_angle_gamma 90.00
loop_
_symmetry_equiv_pos_as_xyz
'x,y,z'
'-x,-y,z'
'-x,y,z'
'x,-y,z'
'x+1/2,y+1/2,z+1/2'
'-x+1/2,-y+1/2,z+1/2'
'-x+1/2,y+1/2,z+1/2'
'x+1/2,-y+1/2,z+1/2'
loop_
_atom_site_label
_atom_site_fract_x
_atom_site_fract_y
_atom_site_fract_z
Si1 0.0000 0.0000 0.0000
Si2 0.0000 0.5000 0.2686
Ag1 0.0000 0.5000 0.7646
Pt1 0.0000 0.0000 0.5528
```

---

Record 4
This record from Alexandria describes a relaxed MgSc2As crystal. The functional is PBE-GGA.

## Properties
**E_form**: -473.4 meV per atom

```
data_MgSc2As
_symmetry_space_group_name_H-M 'C m m m'
_symmetry_Int_Tables_number 65
_symmetry_space_group_name_Hall '-C 2 2'
_cell_length_a 6.4448
_cell_length_b 6.4527
_cell_length_c 3.8611
_cell_angle_alpha 90.00
_cell_angle_beta 90.00
_cell_angle_gamma 90.00
loop_
_atom_site_label
_atom_site_fract_x
_atom_site_fract_y
_atom_site_fract_z
Mg1 0.0000 0.0000 0.0000
Sc1 0.2500 0.2500 0.5000
As1 0.0000 0.5000 0.0000
```

---

Asked for M_tot across the records above, the calculation gives 0.0000; 0.0000; 0.0000; 0.0000 μB per atom in order.